# BaCd2P PBE optimized geometry
# E_form = -0.04 eV/atom
# Calculated volume = 27.91 Å³ per atom
data_BaCd2P
_cell_length_a 4.0193
_cell_length_b 4.0193
_cell_length_c 6.9106
_cell_angle_alpha 90.00
_cell_angle_beta 90.00
_cell_angle_gamma 90.00
_symmetry_space_group_name_H-M 'P 4/m m m'
_symmetry_Int_Tables_number 123
_symmetry_space_group_name_Hall '-P 4 2'
loop_
_atom_site_label
_atom_site_type_symbol
_atom_site_fract_x
_atom_site_fract_y
_atom_site_fract_z
Ba1 Ba 0.0000 0.0000 0.0000
Cd1 Cd 0.5000 0.5000 0.3006
P1 P 0.0000 0.0000 0.5000